No. 1
Computed, not measured: Tb2CeAu6 after structural relaxation at the PBE level of DFT.

Results
Crystal system   orthorhombic

Cell: 8.513 8.513 8.513 Å, 155.23 126.15 60.14°
Positions (direct):
Tb (0.141, 0.141, 0.000)
Tb (0.859, 0.859, 0.000)
Ce (0.500, 0.000, 0.500)
Au (0.136, 0.323, 0.814)
Au (0.183, 0.500, 0.683)
Au (0.491, 0.677, 0.814)
Au (0.509, 0.323, 0.186)
Au (0.817, 0.500, 0.317)
Au (0.864, 0.677, 0.186)

No. 2
Computed, not measured: Pm3Be2SnPd9 after structural relaxation at the PBE level of DFT.

Results
Crystal system   trigonal

Cell: 5.962 5.962 9.344 Å, 90.00 90.00 120.00°
Positions (direct):
Pm (0.000, 0.000, 0.000)
Pm (0.333, 0.667, 0.681)
Pm (0.667, 0.333, 0.319)
Be (0.333, 0.667, 0.144)
Be (0.667, 0.333, 0.856)
Sn (0.000, 0.000, 0.500)
Pd (0.000, 0.500, 0.000)
Pd (0.163, 0.325, 0.277)
Pd (0.163, 0.837, 0.277)
Pd (0.325, 0.163, 0.723)
Pd (0.500, 0.000, 0.000)
Pd (0.500, 0.500, 0.000)
Pd (0.675, 0.837, 0.277)
Pd (0.837, 0.163, 0.723)
Pd (0.837, 0.675, 0.723)

No. 3
Computed, not measured: CeIr4 after structural relaxation at the PBE level of DFT.

Results
Polymorph energy (0 for the lowest one)   0 meV per atom
Crystal system   cubic

Cell: 7.822 7.822 7.822 Å, 109.47 109.47 109.47°
Positions (direct):
Ce (0.000, 0.000, 0.542)
Ce (0.000, 0.542, 0.000)
Ce (0.458, 0.458, 0.458)
Ce (0.542, 0.000, 0.000)
Ir (0.000, 0.000, 0.205)
Ir (0.000, 0.205, 0.000)
Ir (0.000, 0.352, 0.352)
Ir (0.000, 0.648, 0.648)
Ir (0.205, 0.000, 0.000)
Ir (0.250, 0.500, 0.750)
Ir (0.250, 0.750, 0.500)
Ir (0.352, 0.000, 0.352)
Ir (0.352, 0.352, 0.000)
Ir (0.500, 0.250, 0.750)
Ir (0.500, 0.750, 0.250)
Ir (0.648, 0.000, 0.648)
Ir (0.648, 0.648, 0.000)
Ir (0.750, 0.250, 0.500)
Ir (0.750, 0.500, 0.250)
Ir (0.795, 0.795, 0.795)

No. 4
Computed, not measured: CaAs2Ir after structural relaxation at the PBE level of DFT.

Results
Crystal system   orthorhombic

Cell: 3.182 3.867 6.379 Å, 90.00 90.00 90.00°
Positions (direct):
Ca (0.000, 0.000, 0.000)
As (0.000, 0.000, 0.473)
As (0.500, 0.500, 0.749)
Ir (0.500, 0.500, 0.346)

Number 1: energy of formation from the pure elements -710.1 meV/atom. Number 2: energy of formation from the pure elements -644.4 meV/atom. Number 3: energy of formation from the pure elements -254.2 meV/atom. Number 4: energy of formation from the pure elements -235.1 meV/atom.